(1)
10
Lattice="5.5481 0.0000 0.0000 0.0000 6.5746 0.0000 0.0000 0.0000 6.8248" Properties=species:S:1:pos:R:3 comment="LiCaMgIn2, optimized geometry, DFT PBE-GGA" total_magnetization_mub_per_cell=0.0 crystal_system=orthorhombic pbc="T T T"
Li 0.0000 0.0000 0.0000
Li 2.7741 0.0000 0.0000
Ca 1.3870 3.2873 1.3177
Ca 4.1611 3.2873 5.5071
Mg 1.3870 0.0000 2.4761
Mg 4.1611 0.0000 4.3487
In 1.3870 1.7055 4.8966
In 1.3870 4.8691 4.8966
In 4.1611 1.7055 1.9282
In 4.1611 4.8691 1.9282

=====

(2)
20
Lattice="11.1945 0.0000 0.0000 0.0000 11.1945 0.0000 0.0000 0.0000 3.8133" Properties=species:S:1:pos:R:3 comment="Li2Ca2MgIn5, optimized geometry, DFT PBE-GGA" total_magnetization_mub_per_cell=0.0 crystal_system=tetragonal pbc="T T T"
Li 1.3790 4.2183 0.0000
Li 4.2183 9.8156 0.0000
Li 6.9762 1.3790 0.0000
Li 9.8156 6.9762 0.0000
Ca 1.9848 7.5821 0.0000
Ca 3.6124 1.9848 0.0000
Ca 7.5821 9.2097 0.0000
Ca 9.2097 3.6124 0.0000
Mg 0.0000 0.0000 0.0000
Mg 5.5973 5.5973 0.0000
In 0.0000 5.5973 1.9067
In 0.6824 2.2714 1.9067
In 2.2714 10.5121 1.9067
In 3.3259 4.9149 1.9067
In 4.9149 7.8687 1.9067
In 5.5973 0.0000 1.9067
In 6.2797 3.3259 1.9067
In 7.8687 6.2797 1.9067
In 8.9231 0.6824 1.9067
In 10.5121 8.9231 1.9067

=====

(3)
6
Lattice="4.8744 0.0000 0.0000 -2.4372 4.2213 0.0000 0.0000 0.0000 6.7990" Properties=species:S:1:pos:R:3 comment="Li2CaMgIn2, optimized geometry, DFT PBE-GGA" total_magnetization_mub_per_cell=0.0 crystal_system=trigonal pbc="T T T"
Li 0.0000 2.8142 1.3848
Li 2.4372 1.4071 5.4142
Ca 0.0000 0.0000 3.3995
Mg 0.0000 0.0000 0.0000
In 0.0000 2.8142 5.2377
In 2.4372 1.4071 1.5612

=====

These records have formation energy values of -216 -295 -265 meV/atom, in the order they appear.
These records have final energy values of -0.08870 -0.09579 -0.08874 Ha/atom, in the order they appear.